! CaZrNi2 (SCAN, single point on PBEsol structure); values from VASP
&SYSTEM
  ibrav = 0, nat = 4, ntyp = 3
/
ATOMIC_SPECIES
Zr 91.22 Zr.upf
Ni 58.69 Ni.upf
Ca 40.08 Ca.upf
ATOMIC_POSITIONS crystal
Zr 0.5000 0.5000 0.5000
Ni 0.0000 0.0000 0.3054
Ni 0.0000 0.0000 0.6946
Ca 0.5000 0.5000 0.0000
CELL_PARAMETERS angstrom
-0.2920 -3.0220 1.1475
-0.3269 -1.1189 -3.0300
6.6922 -0.8071 -0.4226
! DFT total energy = -18.45 eV per atom
! symmetry = P4/mmm

! As4Ir3 (SCAN, single point on PBEsol structure); values from VASP
&SYSTEM
  ibrav = 0, nat = 7, ntyp = 2
/
ATOMIC_SPECIES
As 74.92 As.upf
Ir 192.22 Ir.upf
ATOMIC_POSITIONS crystal
As 0.4327 0.4327 0.8654
As 0.5673 0.5673 0.1346
Ir 0.0000 0.0000 0.0000
As 0.8335 0.8335 0.6669
Ir 0.7038 0.7038 0.4076
Ir 0.2962 0.2962 0.5924
As 0.1665 0.1665 0.3331
CELL_PARAMETERS angstrom
3.4266 0.0000 0.0000
0.0000 3.4266 0.0000
-1.7133 -1.7133 9.6411
! DFT total energy = -41.87 eV per atom
! symmetry = I4/mmm

! Y3InS6 (SCAN, single point on PBEsol structure); values from VASP
&SYSTEM
  ibrav = 0, nat = 40, ntyp = 3
/
ATOMIC_SPECIES
S 32.06 S.upf
Y 88.91 Y.upf
In 114.82 In.upf
ATOMIC_POSITIONS crystal
S 0.7499 0.5217 0.8946
Y 0.7500 0.3111 0.8542
In 0.7501 0.0000 0.5000
S 0.2498 0.6942 0.0204
S 0.2500 0.3872 0.7531
Y 0.2500 0.9602 0.2247
S 0.7502 0.8184 0.2862
S 0.2498 0.3058 0.9796
S 0.2500 0.3879 0.3816
S 0.7502 0.8058 0.5204
S 0.2501 0.9783 0.3946
S 0.7499 0.4783 0.1054
Y 0.7497 0.2495 0.1068
Y 0.2500 0.1889 0.3542
S 0.2498 0.6816 0.7862
S 0.7502 0.1816 0.7138
S 0.2500 0.6121 0.6184
S 0.7503 0.4038 0.5882
In 0.7491 0.0000 0.0000
In 0.2499 0.5000 0.0000
S 0.2497 0.0962 0.0882
S 0.7500 0.1128 0.2531
Y 0.2500 0.8111 0.6458
Y 0.7500 0.5398 0.7247
S 0.7500 0.8879 0.1184
S 0.7500 0.1121 0.8816
Y 0.7500 0.6889 0.1458
Y 0.2500 0.0398 0.7753
S 0.7502 0.1942 0.4796
Y 0.7500 0.4602 0.2753
In 0.2509 0.5000 0.5000
S 0.2500 0.6128 0.2469
S 0.2497 0.9038 0.9118
Y 0.2503 0.7495 0.3932
S 0.2498 0.3184 0.2138
S 0.2501 0.0217 0.6054
Y 0.2503 0.2505 0.6068
S 0.7503 0.5962 0.4118
Y 0.7497 0.7505 0.8932
S 0.7500 0.8872 0.7469
CELL_PARAMETERS angstrom
-3.0506 -1.6309 -1.5758
5.8571 0.5587 -11.9166
6.5635 -14.7270 2.5356
! raw formation energy = -19.71 eV/f.u.
! symmetry = Pnnm

! Li2B3PO8 (SCAN, single point on PBEsol structure); values from VASP
&SYSTEM
  ibrav = 0, nat = 112, ntyp = 4
/
ATOMIC_SPECIES
B 10.81 B.upf
O 16.00 O.upf
P 30.97 P.upf
Li 6.94 Li.upf
ATOMIC_POSITIONS crystal
B 0.0928 0.6601 0.9451
O 0.5482 0.7036 0.4219
O 0.0328 0.0182 0.1267
O 0.8255 0.8938 0.4657
O 0.6572 0.6556 0.2524
O 0.4518 0.2964 0.5781
O 0.0419 0.6328 0.0498
O 0.0456 0.5728 0.5990
P 0.4089 0.3063 0.8572
Li 0.5666 0.9580 0.5837
O 0.9364 0.0095 0.6089
B 0.8019 0.4467 0.3875
O 0.7562 0.0916 0.8077
O 0.5997 0.1240 0.4940
B 0.0505 0.3278 0.3949
B 0.4083 0.8862 0.2089
O 0.4517 0.2810 0.3238
O 0.7993 0.6426 0.6334
O 0.5519 0.5798 0.0780
Li 0.8628 0.2306 0.7375
O 0.5029 0.4980 0.6608
O 0.2602 0.1399 0.3672
B 0.9495 0.6722 0.6051
O 0.9960 0.7901 0.5863
Li 0.1180 0.3473 0.7159
O 0.2183 0.4520 0.0959
O 0.9118 0.4090 0.7650
Li 0.7427 0.4561 0.6718
B 0.3124 0.8034 0.9245
O 0.5483 0.7190 0.6762
P 0.9032 0.9323 0.3620
B 0.5917 0.1138 0.7911
O 0.1745 0.1062 0.5343
Li 0.8820 0.6527 0.2841
Li 0.2359 0.8314 0.6041
B 0.4439 0.0877 0.1216
O 0.2572 0.6888 0.9450
Li 0.1372 0.7694 0.2625
O 0.9581 0.3672 0.9502
O 0.2131 0.9042 0.9100
O 0.4352 0.7625 0.1652
P 0.0789 0.5268 0.1282
B 0.3033 0.2599 0.3529
P 0.4085 0.7930 0.4083
O 0.7099 0.7804 0.0984
O 0.0882 0.5910 0.2350
B 0.8802 0.8894 0.5731
B 0.6967 0.7401 0.6471
O 0.2668 0.7179 0.3796
O 0.0040 0.2099 0.4137
O 0.7001 0.3508 0.3595
O 0.9672 0.9818 0.8733
O 0.5323 0.1813 0.0836
O 0.7332 0.2821 0.6204
O 0.5530 0.1086 0.6783
B 0.8122 0.9886 0.8536
B 0.5462 0.3818 0.3402
O 0.7817 0.5480 0.9041
Li 0.6370 0.4591 0.9895
B 0.4538 0.6182 0.6598
B 0.9445 0.1185 0.0998
Li 0.7831 0.7247 0.9618
O 0.2007 0.3574 0.3666
O 0.7428 0.3112 0.0550
O 0.2438 0.9084 0.1923
O 0.7537 0.5659 0.3979
O 0.7398 0.8601 0.6328
P 0.9211 0.4732 0.8718
O 0.9353 0.8173 0.2960
O 0.7869 0.0958 0.0900
B 0.5561 0.9123 0.8784
Li 0.2169 0.2753 0.0382
B 0.0555 0.8815 0.9002
O 0.2901 0.2196 0.9016
O 0.0636 0.9905 0.3911
B 0.1981 0.5533 0.6125
O 0.4677 0.8187 0.9164
Li 0.7354 0.9429 0.1725
B 0.1878 0.0114 0.1464
O 0.4964 0.0173 0.8375
Li 0.2646 0.0571 0.8275
P 0.5915 0.2070 0.5917
O 0.0647 0.1827 0.7040
O 0.9544 0.4272 0.4010
O 0.2859 0.1064 0.1155
O 0.4003 0.8760 0.5060
Li 0.2573 0.5439 0.3282
P 0.0968 0.0677 0.6380
B 0.6876 0.1966 0.0755
O 0.4481 0.4202 0.9220
O 0.2999 0.6492 0.6405
O 0.4470 0.8914 0.3217
B 0.6081 0.6069 0.3525
B 0.3919 0.3931 0.6475
O 0.5036 0.9827 0.1625
O 0.4971 0.5020 0.3392
O 0.3428 0.3444 0.7476
O 0.2018 0.9756 0.6914
B 0.9072 0.3399 0.0549
B 0.1198 0.1106 0.4269
O 0.9308 0.4425 0.1302
O 0.9970 0.7669 0.9143
O 0.0692 0.5575 0.8698
O 0.7141 0.8936 0.8845
O 0.0030 0.2331 0.0857
O 0.7982 0.0244 0.3086
Li 0.4334 0.0420 0.4163
O 0.5648 0.2375 0.8348
P 0.5911 0.6937 0.1428
O 0.2463 0.4341 0.6021
Li 0.3630 0.5409 0.0105
Li 0.7641 0.1686 0.3959
CELL_PARAMETERS angstrom
8.7265 -0.0058 -0.0033
-0.0211 10.7264 -0.0531
-0.1381 -0.2256 12.8923
! raw formation energy = -36.42 eV/f.u.
! symmetry = P-1